Crystalline CrSI2O at its relaxed geometry. Source: Alexandria via LeMat-Bulk, functional PBE+U.

```
CrSI2O
1.0
5.486 0.000 0.000
0.000 5.486 0.000
0.000 0.000 3.577
I S Cr O
2 1 1 1
Direct
0.000 0.500 0.000
0.500 0.000 0.000
0.500 0.500 0.500
0.000 0.000 0.000
0.000 0.000 0.500
```

Calculated values
Calculated volume   108 Å³/cell
DFT total energy   -3.60 eV per atom
Space group   P4/mmm, No. 123